This record from the Alexandria database describes a relaxed Ba2In crystal. The functional is PBE.

a = 5.8166 Å, b = 5.8166 Å, c = 14.3881 Å
α = 48.41°, β = 48.41°, γ = 68.10°
Sites, in units of the cell vectors:
In 0.2503 0.7502 0.7498
Ba 0.4120 0.9120 0.8995
Ba 0.0880 0.5880 0.6004
Ba 0.5880 0.0880 0.1005
In 0.7497 0.2498 0.2502
Ba 0.9120 0.4120 0.3996

Summary:
Spin magnetization   0.0 μB/f.u.
E   -2.39 eV per atom
Calculated formation energy   -0.6 eV/f.u.

---

This record from the Alexandria database describes a relaxed Ba4In5 crystal. The functional is PBE.

a = 10.3835 Å, b = 10.3835 Å, c = 7.3628 Å
α = 90.00°, β = 90.00°, γ = 120.00°
Sites, in units of the cell vectors:
Ba 0.0000 0.0000 0.0000
In 0.3105 0.0000 0.7500
In 0.3105 0.3105 0.2500
Ba 0.6347 0.6347 0.2500
In 0.6667 0.3333 0.5000
In 0.3333 0.6667 0.0000
In 0.0000 0.6895 0.2500
Ba 0.0000 0.0000 0.5000
Ba 0.3653 0.0000 0.2500
Ba 0.3653 0.3653 0.7500
In 0.0000 0.3105 0.7500
Ba 0.0000 0.6347 0.7500
In 0.3333 0.6667 0.5000
Ba 0.0000 0.3653 0.2500
Ba 0.6347 0.0000 0.7500
In 0.6895 0.6895 0.7500
In 0.6667 0.3333 0.0000
In 0.6895 0.0000 0.2500

Summary:
Spin magnetization   0.0 μB/f.u.
E   -2.63 eV per atom
Calculated formation energy   -2.2 eV/f.u.
Energy above the most stable polymorph in this dataset   0.0 kJ per mole of atoms

---

This record from the Alexandria database describes a relaxed Ba8In3 crystal. The functional is PBE.

a = 8.4810 Å, b = 8.4810 Å, c = 8.4810 Å
α = 90.26°, β = 90.26°, γ = 90.26°
Sites, in units of the cell vectors:
Ba 0.7459 0.7459 0.7459
Ba 0.7434 0.7433 0.2594
Ba 0.7406 0.2566 0.2567
In 0.5000 0.5000 0.0000
In 0.5000 0.0000 0.5000
Ba 0.7433 0.2594 0.7434
Ba 0.2594 0.7434 0.7433
Ba 0.2566 0.2567 0.7406
Ba 0.2567 0.7406 0.2566
In 0.0000 0.5000 0.5000
Ba 0.2541 0.2541 0.2541

Summary:
Spin magnetization   0.0 μB/f.u.
E   -2.31 eV per atom
Calculated formation energy   -1.9 eV/f.u.

---

This record from the Alexandria database describes a relaxed BaIn3 crystal. The functional is PBE.

a = 4.9259 Å, b = 3.8061 Å, c = 7.1500 Å
α = 78.07°, β = 90.00°, γ = 90.00°
Sites, in units of the cell vectors:
In 0.5000 0.3172 0.2954
In 0.0000 0.5000 0.5000
Ba 0.0000 0.0000 0.0000
In 0.5000 0.6828 0.7046

Summary:
Spin magnetization   0.0 μB/f.u.
E   -2.76 eV per atom
Calculated formation energy   -0.9 eV/f.u.

---

> Number 3 is which compound?

Ba8In3

---

> The highest calculated formation energy belongs to which entry?

Ba2In

---

> Look up the calculated formation energy of the fourth one.

-0.9 eV/f.u.